[1]
First-principles (PBE-GGA) data for an optimized crystal structure of MnCrPt2, as listed in Alexandria via LeMat-Bulk.

For the density of states at the Fermi level, the calculation gives 4.39 states/eV/cell. The formation energy is -0.12 eV per atom. The value obtained for the calculated total energy is -31.35 eV per cell.

Lattice parameters (Å, degrees): 4.399 4.399 4.399 60.00 60.00 60.00
Last column: magnetic moment on the atom in μB.
Fractional positions:
Cr 0.500 0.500 0.500  -3.07
Mn 0.750 0.750 0.750  3.56
Pt 0.000 0.000 0.000  0.18
Pt 0.250 0.250 0.250  -0.02

[2]
First-principles (PBE-GGA) data for an optimized crystal structure of MnCr2Pt2, as listed in Alexandria via LeMat-Bulk.

For the density of states at the Fermi level, the calculation gives 11.83 states/eV/cell. The formation energy is 0.27 eV per atom. The value obtained for the calculated total energy is -78.33 eV per cell.

Lattice parameters (Å, degrees): 7.314 7.314 2.630 90.00 90.00 90.00
Fractional positions:
Cr 0.169 0.669 0.500
Cr 0.669 0.831 0.500
Cr 0.831 0.331 0.500
Cr 0.331 0.169 0.500
Mn 0.000 0.000 0.000
Mn 0.500 0.500 0.000
Pt 0.370 0.870 0.000
Pt 0.870 0.630 0.000
Pt 0.630 0.130 0.000
Pt 0.130 0.370 0.000

[3]
First-principles (PBE-GGA) data for an optimized crystal structure of Mn2Cr2Pt, as listed in Alexandria via LeMat-Bulk.

For the density of states at the Fermi level, the calculation gives 13.62 states/eV/cell. The formation energy is 0.08 eV per atom. The value obtained for the calculated total energy is -86.44 eV per cell.

Lattice parameters (Å, degrees): 6.714 6.714 2.707 90.00 90.00 90.00
Fractional positions:
Cr 0.164 0.664 0.500
Cr 0.664 0.836 0.500
Cr 0.836 0.336 0.500
Cr 0.336 0.164 0.500
Mn 0.367 0.867 0.000
Mn 0.867 0.633 0.000
Mn 0.633 0.133 0.000
Mn 0.133 0.367 0.000
Pt 0.000 0.000 0.000
Pt 0.500 0.500 0.000

[4]
First-principles (PBE-GGA) data for an optimized crystal structure of MnCrPt3, as listed in Alexandria via LeMat-Bulk.

For the density of states at the Fermi level, the calculation gives 8.33 states/eV/cell. The formation energy is 1.31 eV per atom. The value obtained for the calculated total energy is -30.39 eV per cell.

Lattice parameters (Å, degrees): 4.583 4.583 4.583 90.00 90.00 90.00
Last column: magnetic moment on the atom in μB.
Fractional positions:
Cr 0.500 0.500 0.500  0.45
Mn 0.000 0.000 0.000  3.11
Pt 0.000 0.500 0.000  0.19
Pt 0.000 0.000 0.500  0.28
Pt 0.500 0.000 0.000  0.14